EuHo2Ga | PBE | relaxed

Output
Crystal system: cubic
SG: Fm-3m, No. 225
Formation energy: -0.050 eV/atom
DOS at the Fermi energy: 5.01 states/eV/cell
Volume: 108.1 Å³/f.u.
E_tot: -5.6641 eV per atom

Geometry as POSCAR:
```
EuHo2Ga
1.0
-3.118 -3.238 -2.895
2.096 -4.303 -2.383
-1.177 -4.894 1.803
Ho Eu Ga
2 1 1
Cartesian
-0.550 -3.109 -0.868 Ho
-1.649 -9.326 -2.607 Ho
-1.099 -6.217 -1.737 Eu
0.000 0.000 0.000 Ga
```